Density functional theory data (PBE) for Fe2PtPb after structural relaxation.

Computed properties:
Its space group is Imm2, No. 44. The crystal system is orthorhombic.

abc: 5.0180 5.0180 5.0180
angles: 136.71 131.03 67.40
Atoms (fractional coordinates):
Fe: 0.0000 0.0000 0.0000
Fe: 0.7907 0.2907 0.5000
Pt: 0.5230 0.5230 0.0000
Pb: 0.2594 0.7594 0.5000

Density functional theory data (PBE) for FePt2Pb2 after structural relaxation.

Computed properties:
Its space group is P4/mbm, No. 127. The crystal system is tetragonal.

abc: 6.8438 6.8438 4.4709
angles: 90.00 90.00 90.00
Atoms (fractional coordinates):
Fe: 0.0000 0.0000 0.0000
Fe: 0.5000 0.5000 0.0000
Pt: 0.1443 0.3557 0.0000
Pt: 0.3557 0.8557 0.0000
Pt: 0.6443 0.1443 0.0000
Pt: 0.8557 0.6443 0.0000
Pb: 0.1713 0.6713 0.5000
Pb: 0.3287 0.1713 0.5000
Pb: 0.6713 0.8287 0.5000
Pb: 0.8287 0.3287 0.5000

Density functional theory data (PBE) for FePtPb2 after structural relaxation.

Computed properties:
Its space group is P4mm, No. 99. The crystal system is tetragonal.

abc: 3.3317 3.3317 8.0954
angles: 90.00 90.00 90.00
Atoms (fractional coordinates):
Fe: 0.0000 0.0000 0.0000
Pt: 0.5000 0.5000 0.8616
Pb: 0.0000 0.0000 0.6196
Pb: 0.5000 0.5000 0.2385

Density functional theory data (PBE) for FePtPb4 after structural relaxation.

Computed properties:
Its space group is F-43m, No. 216. The crystal system is cubic.

abc: 6.2178 6.2178 6.2178
angles: 60.00 60.00 60.00
Atoms (fractional coordinates):
Fe: 0.0000 0.0000 0.0000
Pt: 0.2500 0.2500 0.2500
Pb: 0.1260 0.6247 0.6247
Pb: 0.6247 0.1260 0.6247
Pb: 0.6247 0.6247 0.1260
Pb: 0.6247 0.6247 0.6247

Density functional theory data (PBE) for FePtPb3 after structural relaxation.

Computed properties:
Its space group is Pm-3m, No. 221. The crystal system is cubic.

abc: 4.9982 4.9982 4.9982
angles: 90.00 90.00 90.00
Atoms (fractional coordinates):
Fe: 0.0000 0.0000 0.0000
Pt: 0.5000 0.5000 0.5000
Pb: 0.0000 0.0000 0.5000
Pb: 0.0000 0.5000 0.0000
Pb: 0.5000 0.0000 0.0000

Density functional theory data (PBE) for FePtPb2 after structural relaxation.

Computed properties:
Its space group is Cm, No. 8. The crystal system is monoclinic.

abc: 5.5787 5.5787 5.2686
angles: 108.26 108.26 33.00
Atoms (fractional coordinates):
Fe: 0.0000 0.0000 0.0000
Pt: 0.6786 0.6786 0.3114
Pb: 0.2407 0.2407 0.8542
Pb: 0.4453 0.4453 0.4842

Density functional theory data (PBE) for Fe2PtPb after structural relaxation.

Computed properties:
Its space group is P4mm, No. 99. The crystal system is tetragonal.

abc: 3.1473 3.1473 6.7197
angles: 90.00 90.00 90.00
Atoms (fractional coordinates):
Fe: 0.0000 0.0000 0.0000
Fe: 0.5000 0.5000 0.1811
Pt: 0.5000 0.5000 0.7811
Pb: 0.0000 0.0000 0.4707

Density functional theory data (PBE) for Sc2FePtPb after structural relaxation.

Computed properties:
Its space group is P4/mmm, No. 123. The crystal system is tetragonal.

abc: 5.0514 5.0514 4.7762
angles: 90.00 90.00 90.00
Atoms (fractional coordinates):
Sc: 0.0000 0.5000 0.0000
Sc: 0.5000 0.0000 0.0000
Fe: 0.0000 0.0000 0.5000
Pt: 0.0000 0.0000 0.0000
Pb: 0.5000 0.5000 0.5000

Density functional theory data (PBE) for FeSnPtPb2 after structural relaxation.

Computed properties:
Its space group is P4/mmm, No. 123. The crystal system is tetragonal.

abc: 5.4465 5.4465 5.1221
angles: 90.00 90.00 90.00
Atoms (fractional coordinates):
Fe: 0.0000 0.0000 0.0000
Sn: 0.5000 0.5000 0.0000
Pt: 0.5000 0.5000 0.5000
Pb: 0.0000 0.5000 0.5000
Pb: 0.5000 0.0000 0.5000

Density functional theory data (PBE) for VFePtPb2 after structural relaxation.

Computed properties:
Its space group is P4/mmm, No. 123. The crystal system is tetragonal.

abc: 5.2469 5.2469 4.6364
angles: 90.00 90.00 90.00
Atoms (fractional coordinates):
V: 0.0000 0.0000 0.0000
Fe: 0.5000 0.5000 0.5000
Pt: 0.0000 0.0000 0.5000
Pb: 0.0000 0.5000 0.0000
Pb: 0.5000 0.0000 0.0000

Density functional theory data (PBE) for YFePt2Pb after structural relaxation.

Computed properties:
Its space group is P4/mmm, No. 123. The crystal system is tetragonal.

abc: 5.0708 5.0708 5.6116
angles: 90.00 90.00 90.00
Atoms (fractional coordinates):
Y: 0.0000 0.0000 0.0000
Fe: 0.5000 0.5000 0.0000
Pt: 0.0000 0.5000 0.5000
Pt: 0.5000 0.0000 0.5000
Pb: 0.0000 0.0000 0.5000

Density functional theory data (PBE) for Zr2FePtPb after structural relaxation.

Computed properties:
Its space group is P4/mmm, No. 123. The crystal system is tetragonal.

abc: 4.7753 4.7753 4.7247
angles: 90.00 90.00 90.00
Atoms (fractional coordinates):
Zr: 0.0000 0.5000 0.0000
Zr: 0.5000 0.0000 0.0000
Fe: 0.0000 0.0000 0.0000
Pt: 0.0000 0.0000 0.5000
Pb: 0.5000 0.5000 0.5000

| no. | Fermi-level density of states (states/eV/atom) | energy of formation from the pure elements (eV per atom) |
| --- | --- | --- |
| 1 | 0.776 | 0.23 |
| 2 | 0.816 | 0.13 |
| 3 | 0.848 | 0.08 |
| 4 | 1.066 | 0.91 |
| 5 | 0.017 | 0.45 |
| 6 | 0.905 | 0.25 |
| 7 | 0.919 | 0.21 |
| 8 | 1.095 | -0.06 |
| 9 | 1.560 | 0.71 |
| 10 | 1.876 | 1.01 |
| 11 | 1.120 | 1.19 |
| 12 | 1.001 | 0.09 |